Model P:
The following is a GGA-PBE calculation of an optimized crystal structure of NdYTmAg, from Alexandria via LeMat-Bulk. Values from VASP.

Cell and atoms, written as Quantum ESPRESSO input:
```
&SYSTEM
  ibrav = 0, nat = 4, ntyp = 4
/
ATOMIC_SPECIES
Nd 144.24 Nd.upf
Y 88.91 Y.upf
Ag 107.87 Ag.upf
Tm 168.93 Tm.upf
CELL_PARAMETERS angstrom
5.422 0.000 0.000
2.711 4.696 0.000
2.711 1.565 4.427
ATOMIC_POSITIONS crystal
Nd 0.250 0.250 0.250
Y 0.750 0.750 0.750
Ag 0.500 0.500 0.500
Tm 0.000 0.000 0.000
```

Spin magnetization   0.0 μB/cell
Space-group type   F-43m, No. 216



Model Q:
The following is a GGA-PBE calculation of an optimized crystal structure of NdYTmAg, from Alexandria via LeMat-Bulk. Values from VASP.

Cell and atoms, written as Quantum ESPRESSO input:
```
&SYSTEM
  ibrav = 0, nat = 4, ntyp = 4
/
ATOMIC_SPECIES
Ag 107.87 Ag.upf
Tm 168.93 Tm.upf
Y 88.91 Y.upf
Nd 144.24 Nd.upf
CELL_PARAMETERS angstrom
3.625 0.000 0.000
0.000 3.625 0.000
0.000 0.000 8.679
ATOMIC_POSITIONS crystal
Ag 0.000 0.000 0.564
Tm 0.500 0.500 0.366
Y 0.500 0.500 0.779
Nd 0.000 0.000 0.076
```

Spin magnetization   0.0 μB/cell
Space-group type   P4mm, No. 99



Going by the energies, model Q is most stable and the next is 18.2 kJ/mol of atoms up.



Model P:
The following is a GGA-PBE calculation of an optimized crystal structure of NdYAg4, from Alexandria via LeMat-Bulk. Values from VASP.

Cell and atoms, written as Quantum ESPRESSO input:
```
&SYSTEM
  ibrav = 0, nat = 6, ntyp = 3
/
ATOMIC_SPECIES
Y 88.91 Y.upf
Ag 107.87 Ag.upf
Nd 144.24 Nd.upf
CELL_PARAMETERS angstrom
5.757 0.000 0.000
2.878 4.985 0.000
2.878 1.662 4.700
ATOMIC_POSITIONS crystal
Y 0.250 0.250 0.250
Ag 0.625 0.625 0.126
Ag 0.625 0.625 0.625
Ag 0.126 0.625 0.625
Ag 0.625 0.126 0.625
Nd 0.000 0.000 0.000
```

Spin magnetization   0.0 μB/cell
Space-group type   F-43m, No. 216



Model Q:
The following is a GGA-PBE calculation of an optimized crystal structure of NdYAg4, from Alexandria via LeMat-Bulk. Values from VASP.

Cell and atoms, written as Quantum ESPRESSO input:
```
&SYSTEM
  ibrav = 0, nat = 6, ntyp = 3
/
ATOMIC_SPECIES
Ag 107.87 Ag.upf
Y 88.91 Y.upf
Nd 144.24 Nd.upf
CELL_PARAMETERS angstrom
-0.172 -3.838 -3.749
5.280 -0.804 0.566
1.793 -3.620 3.617
ATOMIC_POSITIONS crystal
Ag 0.001 0.833 0.834
Ag 0.001 0.171 0.157
Ag 0.501 0.328 0.844
Ag 0.501 0.676 0.147
Y 0.501 0.002 0.495
Nd 0.001 0.502 0.495
```

Spin magnetization   0.0 μB/cell
Space-group type   C2/m, No. 12



Going by the energies, model Q is most stable and the next is 10.8 kJ/mol of atoms up.



Model P:
The following is a GGA-PBE calculation of an optimized crystal structure of NdYAg2, from Alexandria via LeMat-Bulk. Values from VASP.

Cell and atoms, written as Quantum ESPRESSO input:
```
&SYSTEM
  ibrav = 0, nat = 4, ntyp = 3
/
ATOMIC_SPECIES
Ag 107.87 Ag.upf
Nd 144.24 Nd.upf
Y 88.91 Y.upf
CELL_PARAMETERS angstrom
5.243 0.000 0.000
2.621 4.540 0.000
2.621 1.513 4.281
ATOMIC_POSITIONS crystal
Ag 0.750 0.750 0.750
Ag 0.250 0.250 0.250
Nd 0.500 0.500 0.500
Y 0.000 0.000 0.000
```

Spin magnetization   0.0 μB/cell
Space-group type   Fm-3m, No. 225



Model Q:
The following is a GGA-PBE calculation of an optimized crystal structure of NdYAg2, from Alexandria via LeMat-Bulk. Values from VASP.

Cell and atoms, written as Quantum ESPRESSO input:
```
&SYSTEM
  ibrav = 0, nat = 4, ntyp = 3
/
ATOMIC_SPECIES
Y 88.91 Y.upf
Ag 107.87 Ag.upf
Nd 144.24 Nd.upf
CELL_PARAMETERS angstrom
3.668 0.000 0.000
0.000 3.668 0.000
0.000 0.000 7.521
ATOMIC_POSITIONS crystal
Y 0.500 0.500 0.000
Ag 0.000 0.000 0.233
Ag 0.000 0.000 0.767
Nd 0.500 0.500 0.500
```

Spin magnetization   0.0 μB/cell
Space-group type   P4/mmm, No. 123



Going by the energies, model Q is most stable and the next is 1.2 kJ/mol of atoms up.



Model P:
The following is a GGA-PBE calculation of an optimized crystal structure of NdZn4Ag, from Alexandria via LeMat-Bulk. Values from VASP.

Cell and atoms, written as Quantum ESPRESSO input:
```
&SYSTEM
  ibrav = 0, nat = 24, ntyp = 3
/
ATOMIC_SPECIES
Ag 107.87 Ag.upf
Zn 65.41 Zn.upf
Nd 144.24 Nd.upf
CELL_PARAMETERS angstrom
-1.124 2.550 1.920
-5.901 1.641 -5.637
-10.218 -10.300 7.697
ATOMIC_POSITIONS crystal
Ag 0.000 0.871 0.586
Ag 0.000 0.371 0.914
Ag 0.000 0.629 0.086
Ag 0.000 0.129 0.414
Zn 0.500 0.214 0.810
Zn 0.500 0.527 0.805
Zn 0.500 0.027 0.695
Zn 0.500 0.624 0.539
Zn 0.500 0.786 0.190
Zn 0.500 0.872 0.450
Zn 0.500 0.876 0.039
Zn 0.500 0.286 0.310
Zn 0.500 0.124 0.961
Zn 0.500 0.628 0.950
Zn 0.500 0.372 0.050
Zn 0.500 0.714 0.690
Zn 0.500 0.128 0.550
Zn 0.500 0.973 0.305
Zn 0.500 0.376 0.461
Zn 0.500 0.473 0.195
Nd 0.000 0.877 0.846
Nd 0.000 0.623 0.346
Nd 0.000 0.377 0.654
Nd 0.000 0.123 0.154
```

Spin magnetization   0.0 μB/cell
Space-group type   Pbam, No. 55



Model Q:
The following is a GGA-PBE calculation of an optimized crystal structure of NdZn4Ag, from Alexandria via LeMat-Bulk. Values from VASP.

Cell and atoms, written as Quantum ESPRESSO input:
```
&SYSTEM
  ibrav = 0, nat = 6, ntyp = 3
/
ATOMIC_SPECIES
Zn 65.41 Zn.upf
Ag 107.87 Ag.upf
Nd 144.24 Nd.upf
CELL_PARAMETERS angstrom
5.393 0.000 0.000
2.697 4.671 0.000
2.697 1.557 4.403
ATOMIC_POSITIONS crystal
Zn 0.125 0.625 0.625
Zn 0.625 0.625 0.625
Zn 0.625 0.625 0.125
Zn 0.625 0.125 0.625
Ag 0.000 0.000 0.000
Nd 0.250 0.250 0.250
```

Spin magnetization   0.0 μB/cell
Space-group type   F-43m, No. 216



Model R:
The following is a GGA-PBE calculation of an optimized crystal structure of NdZn4Ag, from Alexandria via LeMat-Bulk. Values from VASP.

Cell and atoms, written as Quantum ESPRESSO input:
```
&SYSTEM
  ibrav = 0, nat = 12, ntyp = 3
/
ATOMIC_SPECIES
Zn 65.41 Zn.upf
Ag 107.87 Ag.upf
Nd 144.24 Nd.upf
CELL_PARAMETERS angstrom
4.170 0.000 0.000
0.000 6.733 0.000
-2.085 0.000 8.230
ATOMIC_POSITIONS crystal
Zn 0.664 0.941 0.327
Zn 0.500 0.500 0.000
Zn 0.929 0.250 0.857
Zn 0.071 0.750 0.143
Zn 0.336 0.441 0.673
Zn 0.336 0.059 0.673
Zn 0.500 0.000 0.000
Zn 0.664 0.559 0.327
Ag 0.235 0.750 0.469
Ag 0.765 0.250 0.531
Nd 0.885 0.750 0.770
Nd 0.115 0.250 0.230
```

Spin magnetization   0.0 μB/cell
Space-group type   Cmcm, No. 63



Going by the energies, model R is most stable and the next is 1.5 kJ/mol of atoms up.



Model P:
The following is a GGA-PBE calculation of an optimized crystal structure of NdZn4Ag2, from Alexandria via LeMat-Bulk. Values from VASP.

Cell and atoms, written as Quantum ESPRESSO input:
```
&SYSTEM
  ibrav = 0, nat = 7, ntyp = 3
/
ATOMIC_SPECIES
Nd 144.24 Nd.upf
Ag 107.87 Ag.upf
Zn 65.41 Zn.upf
CELL_PARAMETERS angstrom
6.087 -0.589 0.000
-2.996 5.331 0.000
-1.545 -2.371 5.421
ATOMIC_POSITIONS crystal
Nd 0.000 0.000 0.000
Ag 0.750 0.250 0.500
Ag 0.250 0.750 0.500
Zn 0.500 0.728 0.228
Zn 0.728 0.500 0.228
Zn 0.500 0.272 0.772
Zn 0.272 0.500 0.772
```

Spin magnetization   0.0 μB/cell
Space-group type   I4/mmm, No. 139



Model Q:
The following is a GGA-PBE calculation of an optimized crystal structure of NdZn4Ag2, from Alexandria via LeMat-Bulk. Values from VASP.

Cell and atoms, written as Quantum ESPRESSO input:
```
&SYSTEM
  ibrav = 0, nat = 7, ntyp = 3
/
ATOMIC_SPECIES
Zn 65.41 Zn.upf
Ag 107.87 Ag.upf
Nd 144.24 Nd.upf
CELL_PARAMETERS angstrom
-3.040 4.265 -1.404
-5.203 -0.860 -1.696
-3.046 2.513 3.885
ATOMIC_POSITIONS crystal
Zn 0.311 0.378 0.000
Zn 0.689 0.000 0.622
Zn 0.689 0.622 0.000
Zn 0.311 0.000 0.378
Ag 0.249 0.501 0.501
Ag 0.751 0.499 0.499
Nd 0.000 0.000 0.000
```

Spin magnetization   0.0 μB/cell
Space-group type   C2/m, No. 12



Going by the energies, model Q is most stable and the next is 38.3 kJ/mol of atoms up.



Model P:
The following is a GGA-PBE calculation of an optimized crystal structure of NdZnAg4, from Alexandria via LeMat-Bulk. Values from VASP.

Cell and atoms, written as Quantum ESPRESSO input:
```
&SYSTEM
  ibrav = 0, nat = 6, ntyp = 3
/
ATOMIC_SPECIES
Ag 107.87 Ag.upf
Nd 144.24 Nd.upf
Zn 65.41 Zn.upf
CELL_PARAMETERS angstrom
-4.336 3.420 0.837
-3.225 1.525 -4.298
-5.217 -1.953 -0.408
ATOMIC_POSITIONS crystal
Ag 0.626 0.123 0.626
Ag 0.626 0.626 0.626
Ag 0.123 0.626 0.626
Ag 0.626 0.626 0.123
Nd 0.250 0.250 0.250
Zn 0.000 0.000 0.000
```

Spin magnetization   0.0 μB/cell
Space-group type   F-43m, No. 216



Model Q:
The following is a GGA-PBE calculation of an optimized crystal structure of NdZnAg4, from Alexandria via LeMat-Bulk. Values from VASP.

Cell and atoms, written as Quantum ESPRESSO input:
```
&SYSTEM
  ibrav = 0, nat = 12, ntyp = 3
/
ATOMIC_SPECIES
Ag 107.87 Ag.upf
Nd 144.24 Nd.upf
Zn 65.41 Zn.upf
CELL_PARAMETERS angstrom
4.034 0.000 0.000
0.000 7.432 0.000
0.000 0.000 8.208
ATOMIC_POSITIONS crystal
Ag 0.500 0.687 0.447
Ag 0.000 0.000 0.000
Ag 0.500 0.313 0.553
Ag 0.000 0.000 0.500
Ag 0.500 0.687 0.053
Ag 0.500 0.944 0.750
Ag 0.500 0.056 0.250
Ag 0.500 0.313 0.947
Nd 0.000 0.394 0.250
Nd 0.000 0.606 0.750
Zn 0.000 0.207 0.750
Zn 0.000 0.793 0.250
```

Spin magnetization   0.0 μB/cell
Space-group type   Pmma, No. 51



Going by the energies, model Q is most stable and the next is 1.0 kJ/mol of atoms up.



Model P:
The following is a GGA-PBE calculation of an optimized crystal structure of Nd3Zn2Ag3, from Alexandria via LeMat-Bulk. Values from VASP.

Cell and atoms, written as Quantum ESPRESSO input:
```
&SYSTEM
  ibrav = 0, nat = 16, ntyp = 3
/
ATOMIC_SPECIES
Zn 65.41 Zn.upf
Ag 107.87 Ag.upf
Nd 144.24 Nd.upf
CELL_PARAMETERS angstrom
4.674 0.000 0.000
-2.337 5.383 0.000
0.000 0.000 15.198
ATOMIC_POSITIONS crystal
Zn 0.204 0.409 0.400
Zn 0.204 0.409 0.100
Zn 0.796 0.591 0.900
Zn 0.796 0.591 0.600
Ag 0.338 0.676 0.250
Ag 0.618 0.235 0.458
Ag 0.382 0.765 0.542
Ag 0.662 0.324 0.750
Ag 0.618 0.235 0.042
Ag 0.382 0.765 0.958
Nd 0.909 0.818 0.104
Nd 0.091 0.182 0.604
Nd 0.627 0.254 0.250
Nd 0.373 0.746 0.750
Nd 0.909 0.818 0.396
Nd 0.091 0.182 0.896
```

Spin magnetization   0.0 μB/cell
Space-group type   Cmcm, No. 63



Model Q:
The following is a GGA-PBE calculation of an optimized crystal structure of Nd3Zn2Ag3, from Alexandria via LeMat-Bulk. Values from VASP.

Cell and atoms, written as Quantum ESPRESSO input:
```
&SYSTEM
  ibrav = 0, nat = 32, ntyp = 3
/
ATOMIC_SPECIES
Zn 65.41 Zn.upf
Ag 107.87 Ag.upf
Nd 144.24 Nd.upf
CELL_PARAMETERS angstrom
-2.475 4.209 -2.927
-4.973 1.526 6.399
10.896 10.547 5.953
ATOMIC_POSITIONS crystal
Zn 0.130 0.891 0.891
Zn 0.370 0.391 0.609
Zn 0.870 0.109 0.391
Zn 0.870 0.109 0.109
Zn 0.130 0.891 0.609
Zn 0.630 0.609 0.391
Zn 0.370 0.391 0.891
Zn 0.630 0.609 0.109
Ag 0.630 0.329 0.750
Ag 0.100 0.181 0.965
Ag 0.600 0.319 0.035
Ag 0.370 0.671 0.250
Ag 0.900 0.819 0.465
Ag 0.900 0.819 0.035
Ag 0.870 0.829 0.750
Ag 0.400 0.681 0.965
Ag 0.130 0.171 0.250
Ag 0.100 0.181 0.535
Ag 0.400 0.681 0.535
Ag 0.600 0.319 0.465
Nd 0.368 0.678 0.750
Nd 0.130 0.456 0.107
Nd 0.132 0.178 0.750
Nd 0.630 0.044 0.893
Nd 0.370 0.956 0.107
Nd 0.870 0.544 0.893
Nd 0.870 0.544 0.607
Nd 0.370 0.956 0.393
Nd 0.868 0.822 0.250
Nd 0.630 0.044 0.607
Nd 0.130 0.456 0.393
Nd 0.632 0.322 0.250
```

Spin magnetization   0.0 μB/cell
Space-group type   Pnma, No. 62



Going by the energies, model P is most stable and the next is 1.2 kJ/mol of atoms up.



Model P:
The following is a GGA-PBE calculation of an optimized crystal structure of NdZn9Ag2, from Alexandria via LeMat-Bulk. Values from VASP.

Cell and atoms, written as Quantum ESPRESSO input:
```
&SYSTEM
  ibrav = 0, nat = 12, ntyp = 3
/
ATOMIC_SPECIES
Zn 65.41 Zn.upf
Ag 107.87 Ag.upf
Nd 144.24 Nd.upf
CELL_PARAMETERS angstrom
3.086 0.000 0.000
0.000 8.846 0.000
0.000 -4.423 7.661
ATOMIC_POSITIONS crystal
Zn 0.500 0.635 0.818
Zn 0.500 0.182 0.365
Zn 0.500 0.818 0.182
Zn 0.500 0.182 0.818
Zn 0.500 0.365 0.182
Zn 0.500 0.818 0.635
Zn 0.000 0.500 0.000
Zn 0.000 0.000 0.500
Zn 0.000 0.500 0.500
Ag 0.000 0.333 0.667
Ag 0.000 0.667 0.333
Nd 0.000 0.000 0.000
```

Spin magnetization   0.0 μB/cell
Space-group type   P6/mmm, No. 191



Model Q:
The following is a GGA-PBE calculation of an optimized crystal structure of NdZn9Ag2, from Alexandria via LeMat-Bulk. Values from VASP.

Cell and atoms, written as Quantum ESPRESSO input:
```
&SYSTEM
  ibrav = 0, nat = 12, ntyp = 3
/
ATOMIC_SPECIES
Zn 65.41 Zn.upf
Ag 107.87 Ag.upf
Nd 144.24 Nd.upf
CELL_PARAMETERS angstrom
-2.212 3.232 3.528
-5.009 -0.734 1.470
0.139 -4.168 7.844
ATOMIC_POSITIONS crystal
Zn 0.410 0.410 0.262
Zn 0.500 0.500 0.500
Zn 0.081 0.590 0.738
Zn 0.410 0.919 0.262
Zn 0.666 0.666 0.001
Zn 0.919 0.410 0.262
Zn 0.334 0.334 0.999
Zn 0.590 0.590 0.738
Zn 0.590 0.081 0.738
Ag 0.138 0.138 0.586
Ag 0.862 0.862 0.414
Nd 0.000 0.000 0.000
```

Spin magnetization   0.0 μB/cell
Space-group type   R-3m, No. 166



Going by the energies, model Q is most stable and the next is 7.1 kJ/mol of atoms up.